Material: LiMnSi
Method: DFT, PBEsol
State: relaxed

Values from the calculation:
formation energy without anion corrections: 0.407 eV/atom
calculated total energy: -65.0 eV per cell
crystal system: cubic

```
LiMnSi
1.0
5.519 0.000 0.000
0.000 5.519 0.000
0.000 0.000 5.519
Li Mn Si
4 4 4
direct
0.000 0.000 0.000
0.000 0.500 0.500
0.500 0.000 0.500
0.500 0.500 0.000
0.250 0.250 0.250
0.250 0.750 0.750
0.750 0.250 0.750
0.750 0.750 0.250
0.250 0.250 0.750
0.250 0.750 0.250
0.750 0.250 0.250
0.750 0.750 0.750
```